1.
# PBE Cu2GeAu, optimized geometry
data_Cu2GeAu
_chemical_formula_sum 'Cu8 Ge4 Au4'
_cell_length_a 6.2194
_cell_length_b 6.2194
_cell_length_c 6.2194
_cell_angle_alpha 90.00
_cell_angle_beta 90.00
_cell_angle_gamma 90.00
_space_group_name_H-M_alt 'F -4 3 m'
_space_group_IT_number 216
_space_group_name_Hall 'F -4 2 3'
loop_
_atom_site_label
_atom_site_type_symbol
_atom_site_fract_x
_atom_site_fract_y
_atom_site_fract_z
Cu1 Cu 0.0000 0.0000 0.0000
Cu2 Cu 0.2500 0.2500 0.2500
Ge1 Ge 0.0000 0.0000 0.5000
Au1 Au 0.2500 0.2500 0.7500
# Calculated total energy (Ry per atom): -0.2763

***

2.
# PBE CuGeAu2, optimized geometry
data_CuGeAu2
_chemical_formula_sum 'Cu4 Ge4 Au8'
_cell_length_a 6.4641
_cell_length_b 6.4641
_cell_length_c 6.4641
_cell_angle_alpha 90.00
_cell_angle_beta 90.00
_cell_angle_gamma 90.00
_space_group_name_H-M_alt 'F -4 3 m'
_space_group_IT_number 216
_space_group_name_Hall 'F -4 2 3'
loop_
_atom_site_label
_atom_site_type_symbol
_atom_site_fract_x
_atom_site_fract_y
_atom_site_fract_z
Cu1 Cu 0.0000 0.0000 0.0000
Ge1 Ge 0.2500 0.2500 0.7500
Au1 Au 0.0000 0.0000 0.5000
Au2 Au 0.2500 0.2500 0.2500
# Calculated total energy (Ry per atom): -0.2665

***

3.
# PBE LiCuGeAu, optimized geometry
data_LiCuGeAu
_chemical_formula_sum 'Li4 Cu4 Ge4 Au4'
_cell_length_a 6.2161
_cell_length_b 6.2161
_cell_length_c 6.2161
_cell_angle_alpha 90.00
_cell_angle_beta 90.00
_cell_angle_gamma 90.00
_space_group_name_H-M_alt 'F -4 3 m'
_space_group_IT_number 216
_space_group_name_Hall 'F -4 2 3'
loop_
_atom_site_label
_atom_site_type_symbol
_atom_site_fract_x
_atom_site_fract_y
_atom_site_fract_z
Li1 Li 0.0000 0.0000 0.0000
Cu1 Cu 0.2500 0.2500 0.7500
Ge1 Ge 0.0000 0.0000 0.5000
Au1 Au 0.2500 0.2500 0.2500
# Offset from the most stable computed form (meV per atom): 0

***

4.
# PBE Li4CuGe2Au, optimized geometry
data_Li4CuGe2Au
_chemical_formula_sum 'Li4 Cu1 Ge2 Au1'
_cell_length_a 4.2771
_cell_length_b 4.2771
_cell_length_c 6.1012
_cell_angle_alpha 90.00
_cell_angle_beta 90.00
_cell_angle_gamma 90.00
_space_group_name_H-M_alt 'P -4 m 2'
_space_group_IT_number 115
_space_group_name_Hall 'P -4 -2'
loop_
_atom_site_label
_atom_site_type_symbol
_atom_site_fract_x
_atom_site_fract_y
_atom_site_fract_z
Li1 Li 0.0000 0.0000 0.0000
Li2 Li 0.0000 0.5000 0.7425
Li3 Li 0.5000 0.5000 0.5000
Cu1 Cu 0.0000 0.0000 0.5000
Ge1 Ge 0.0000 0.5000 0.2681
Au1 Au 0.5000 0.5000 0.0000
# Calculated total energy (Ry per atom): -0.2487

***

5.
# PBE LuCuGeAu, optimized geometry
data_LuCuGeAu
_chemical_formula_sum 'Lu4 Cu4 Ge4 Au4'
_cell_length_a 6.6282
_cell_length_b 6.6282
_cell_length_c 6.6282
_cell_angle_alpha 90.00
_cell_angle_beta 90.00
_cell_angle_gamma 90.00
_space_group_name_H-M_alt 'F -4 3 m'
_space_group_IT_number 216
_space_group_name_Hall 'F -4 2 3'
loop_
_atom_site_label
_atom_site_type_symbol
_atom_site_fract_x
_atom_site_fract_y
_atom_site_fract_z
Lu1 Lu 0.0000 0.0000 0.0000
Cu1 Cu 0.2500 0.2500 0.7500
Ge1 Ge 0.0000 0.0000 0.5000
Au1 Au 0.2500 0.2500 0.2500
# Offset from the most stable computed form (meV per atom): 17

***

6.
# PBE LuCuGeAu, optimized geometry
data_LuCuGeAu
_chemical_formula_sum 'Lu4 Cu4 Ge4 Au4'
_cell_length_a 6.6324
_cell_length_b 6.6324
_cell_length_c 6.6324
_cell_angle_alpha 90.00
_cell_angle_beta 90.00
_cell_angle_gamma 90.00
_space_group_name_H-M_alt 'F -4 3 m'
_space_group_IT_number 216
_space_group_name_Hall 'F -4 2 3'
loop_
_atom_site_label
_atom_site_type_symbol
_atom_site_fract_x
_atom_site_fract_y
_atom_site_fract_z
Lu1 Lu 0.0000 0.0000 0.0000
Cu1 Cu 0.0000 0.0000 0.5000
Ge1 Ge 0.2500 0.2500 0.2500
Au1 Au 0.2500 0.2500 0.7500
# Offset from the most stable computed form (meV per atom): 0

***

7.
# PBE Lu2CuGe2Au, optimized geometry
data_Lu2CuGe2Au
_chemical_formula_sum 'Lu2 Cu1 Ge2 Au1'
_cell_length_a 4.3517
_cell_length_b 4.3517
_cell_length_c 7.0427
_cell_angle_alpha 90.00
_cell_angle_beta 90.00
_cell_angle_gamma 120.00
_space_group_name_H-M_alt 'P 3 m 1'
_space_group_IT_number 156
_space_group_name_Hall 'P 3 -2"'
loop_
_atom_site_label
_atom_site_type_symbol
_atom_site_fract_x
_atom_site_fract_y
_atom_site_fract_z
Lu1 Lu 0.0000 0.0000 0.0000
Lu2 Lu 0.0000 0.0000 0.4917
Cu1 Cu 0.6667 0.3333 0.1985
Ge1 Ge 0.3333 0.6667 0.2719
Ge2 Ge 0.6667 0.3333 0.7972
Au1 Au 0.3333 0.6667 0.6963
# Calculated total energy (Ry per atom): -0.3619

***

8.
# PBE NdCuGe2Au, optimized geometry
data_NdCuGe2Au
_chemical_formula_sum 'Nd2 Cu2 Ge4 Au2'
_cell_length_a 4.2874
_cell_length_b 4.2874
_cell_length_c 10.6073
_cell_angle_alpha 90.00
_cell_angle_beta 90.00
_cell_angle_gamma 90.00
_space_group_name_H-M_alt 'I -4 m 2'
_space_group_IT_number 119
_space_group_name_Hall 'I -4 -2'
loop_
_atom_site_label
_atom_site_type_symbol
_atom_site_fract_x
_atom_site_fract_y
_atom_site_fract_z
Nd1 Nd 0.0000 0.0000 0.0000
Cu1 Cu 0.0000 0.5000 0.7500
Ge1 Ge 0.0000 0.0000 0.3827
Au1 Au 0.0000 0.5000 0.2500
# Calculated total energy (Ry per atom): -0.3480

***

9.
# PBE CuGeOsAu, optimized geometry
data_CuGeOsAu
_chemical_formula_sum 'Cu4 Ge4 Os4 Au4'
_cell_length_a 6.2360
_cell_length_b 6.2360
_cell_length_c 6.2360
_cell_angle_alpha 90.00
_cell_angle_beta 90.00
_cell_angle_gamma 90.00
_space_group_name_H-M_alt 'F -4 3 m'
_space_group_IT_number 216
_space_group_name_Hall 'F -4 2 3'
loop_
_atom_site_label
_atom_site_type_symbol
_atom_site_fract_x
_atom_site_fract_y
_atom_site_fract_z
Cu1 Cu 0.0000 0.0000 0.0000
Ge1 Ge 0.2500 0.2500 0.7500
Os1 Os 0.0000 0.0000 0.5000
Au1 Au 0.2500 0.2500 0.2500
# Offset from the most stable computed form (meV per atom): 0

***

10.
# PBE CuGeAuS3, optimized geometry
data_CuGeAuS3
_chemical_formula_sum 'Cu4 Ge4 Au4 S12'
_cell_length_a 3.5180
_cell_length_b 13.5512
_cell_length_c 8.9167
_cell_angle_alpha 90.00
_cell_angle_beta 90.00
_cell_angle_gamma 90.00
_space_group_name_H-M_alt 'C m c m'
_space_group_IT_number 63
_space_group_name_Hall '-C 2c 2'
loop_
_atom_site_label
_atom_site_type_symbol
_atom_site_fract_x
_atom_site_fract_y
_atom_site_fract_z
Cu1 Cu 0.0000 0.0364 0.2500
Ge1 Ge 0.0000 0.2600 0.7500
Au1 Au 0.0000 0.5000 0.0000
S1 S 0.0000 0.1654 0.0762
S2 S 0.0000 0.4187 0.2500
# Calculated total energy (Ry per atom): -0.2868

***

11.
# PBE Sc2CuGe2Au, optimized geometry
data_Sc2CuGe2Au
_chemical_formula_sum 'Sc8 Cu4 Ge8 Au4'
_cell_length_a 7.5272
_cell_length_b 4.3198
_cell_length_c 14.3622
_cell_angle_alpha 90.00
_cell_angle_beta 99.62
_cell_angle_gamma 90.00
_space_group_name_H-M_alt 'P 1 m 1'
_space_group_IT_number 6
_space_group_name_Hall 'P -2y'
loop_
_atom_site_label
_atom_site_type_symbol
_atom_site_fract_x
_atom_site_fract_y
_atom_site_fract_z
Sc1 Sc 0.0000 0.0000 0.0000
Sc2 Sc 0.0056 0.5000 0.4922
Sc3 Sc 0.2373 0.0000 0.7372
Sc4 Sc 0.2459 0.5000 0.2418
Sc5 Sc 0.4838 0.0000 0.4847
Sc6 Sc 0.4986 0.5000 0.9992
Sc7 Sc 0.7437 0.0000 0.2372
Sc8 Sc 0.7556 0.5000 0.7395
Cu1 Cu 0.0603 0.5000 0.6765
Cu2 Cu 0.0610 0.0000 0.1833
Cu3 Cu 0.3064 0.5000 0.4258
Cu4 Cu 0.5577 0.5000 0.1823
Ge1 Ge 0.1200 0.5000 0.8600
Ge2 Ge 0.1288 0.0000 0.3635
Ge3 Ge 0.3595 0.5000 0.6097
Ge4 Ge 0.3728 0.0000 0.1238
Ge5 Ge 0.6082 0.5000 0.3619
Ge6 Ge 0.6212 0.0000 0.8660
Ge7 Ge 0.8747 0.5000 0.1248
Ge8 Ge 0.8822 0.0000 0.6177
Au1 Au 0.3083 0.0000 0.9292
Au2 Au 0.5573 0.0000 0.6757
Au3 Au 0.8081 0.0000 0.4273
Au4 Au 0.8105 0.5000 0.9307
# Calculated total energy (Ry per atom): -0.3991

***

12.
# PBE ScCuGeAu, optimized geometry
data_ScCuGeAu
_chemical_formula_sum 'Sc4 Cu4 Ge4 Au4'
_cell_length_a 6.4706
_cell_length_b 6.4706
_cell_length_c 6.4706
_cell_angle_alpha 90.00
_cell_angle_beta 90.00
_cell_angle_gamma 90.00
_space_group_name_H-M_alt 'F -4 3 m'
_space_group_IT_number 216
_space_group_name_Hall 'F -4 2 3'
loop_
_atom_site_label
_atom_site_type_symbol
_atom_site_fract_x
_atom_site_fract_y
_atom_site_fract_z
Sc1 Sc 0.0000 0.0000 0.0000
Cu1 Cu 0.0000 0.0000 0.5000
Ge1 Ge 0.2500 0.2500 0.2500
Au1 Au 0.2500 0.2500 0.7500
# Offset from the most stable computed form (meV per atom): 0